## CaGa2Ge2 (SCAN)

Data for a PBEsol-optimized structure of CaGa2Ge2.

The formation energy comes out at -305 meV/atom.

The structure belongs to space group I4/mmm (No. 139); the cell edges are 4.619, 4.619 and 9.581 Å and the angles 90.00°, 90.00° and 90.00°. The asymmetric unit holds Ca at (0.000, 0.000, 0.000), Ga at (0.000, 0.000, 0.373) and Ge at (0.000, 0.500, 0.250).

## Cr2AsAu (SCAN)

Data for a PBEsol-optimized structure of Cr2AsAu.

The formation energy comes out at 349 meV/atom.

The structure belongs to space group P4/mmm (No. 123); the cell edges are 4.379, 4.379 and 2.810 Å and the angles 90.00°, 90.00° and 90.00°. The asymmetric unit holds Cr at (0.000, 0.500, 0.000), As at (0.000, 0.000, 0.500) and Au at (0.500, 0.500, 0.500).

## KZn2Hg (SCAN)

Data for a PBEsol-optimized structure of KZn2Hg.

The formation energy comes out at 122 meV/atom.

The structure belongs to space group Imm2 (No. 44); the cell edges are 3.960, 5.389 and 9.005 Å and the angles 90.00°, 90.00° and 90.00°. The asymmetric unit holds K at (0.000, 0.000, 0.000), Zn at (0.000, 0.000, 0.477), Zn at (0.000, 0.500, 0.793) and Hg at (0.000, 0.500, 0.206).

## Si5Pt12 (SCAN)

Data for a PBEsol-optimized structure of Si5Pt12.

As for the energy relative to the lowest polymorph listed for this composition: 0 kJ/mol of formula units. Its uncorrected formation energy is -669 meV/atom.

The structure belongs to space group P4/n (No. 85, origin choice 2); the cell edges are 13.392, 13.392 and 5.522 Å and the angles 90.00°, 90.00° and 90.00°. The asymmetric unit holds Si at (0.057, 0.136, 0.072), Si at (0.064, 0.635, 0.511), Si at (0.250, 0.250, 0.561), Si at (0.250, 0.750, 0.000), Pt at (0.037, 0.597, 0.968), Pt at (0.042, 0.085, 0.598), Pt at (0.095, 0.786, 0.743), Pt at (0.102, 0.285, 0.313), Pt at (0.103, 0.269, 0.813) and Pt at (0.103, 0.771, 0.244).

## CdCu2Re (SCAN)

Data for a PBEsol-optimized structure of CdCu2Re.

The formation energy comes out at 406 meV/atom.

The structure belongs to space group Pmmm (No. 47); the cell edges are 2.659, 3.757 and 5.669 Å and the angles 90.00°, 90.00° and 90.00°. The asymmetric unit holds Cd at (0.000, 0.000, 0.000), Cu at (0.500, 0.500, 0.276) and Re at (0.000, 0.000, 0.500).

## LaAlGe2Pd (SCAN)

Data for a PBEsol-optimized structure of LaAlGe2Pd.

The formation energy comes out at -294 meV/atom.

The structure belongs to space group P4/mmm (No. 123); the cell edges are 4.846, 4.846 and 4.617 Å and the angles 90.00°, 90.00° and 90.00°. The asymmetric unit holds La at (0.000, 0.000, 0.000), Al at (0.500, 0.500, 0.500), Ge at (0.000, 0.500, 0.500) and Pd at (0.500, 0.500, 0.000).